No. 1
The following is a PBE-GGA calculation of crystalline Pm5PrY2Ho at its relaxed geometry, from the Alexandria database.

Lattice parameters (Å, degrees): 5.725 20.335 10.649 90.00 90.00 90.00
Space group Cmc2_1 (No. 36)
Asymmetric unit:
Pm 0.000 0.018 0.000 (multiplicity 4)
Pm 0.000 0.281 0.291 (multiplicity 4)
Pm 0.000 0.297 0.684 (multiplicity 4)
Pm 0.000 0.388 0.001 (multiplicity 4)
Pm 0.000 0.479 0.719 (multiplicity 4)
Pr 0.000 0.413 0.432 (multiplicity 4)
Y 0.000 0.113 0.711 (multiplicity 4)
Y 0.000 0.116 0.298 (multiplicity 4)
Ho 0.000 0.200 0.989 (multiplicity 4)

- E_form: 0.146 eV/atom

---

No. 2
The following is a PBE-GGA calculation of crystalline Pm2PrY3Ho6 at its relaxed geometry, from the Alexandria database.

Lattice parameters (Å, degrees): 6.196 10.725 11.822 90.00 100.03 90.00
Space group C2/m (No. 12)
Asymmetric unit:
Pm 0.000 0.167 0.000 (multiplicity 4)
Pr 0.000 0.500 0.000 (multiplicity 2)
Y 0.000 0.000 0.500 (multiplicity 2)
Y 0.000 0.333 0.500 (multiplicity 4)
Ho 0.248 0.167 0.748 (multiplicity 8)
Ho 0.249 0.500 0.748 (multiplicity 4)

- E_form: 0.020 eV/atom

---

No. 3
The following is a PBE-GGA calculation of crystalline PmPr2Y2Ho2 at its relaxed geometry, from the Alexandria database.

Lattice parameters (Å, degrees): 11.852 3.542 11.917 90.00 108.58 90.00
Space group C2/m (No. 12)
Asymmetric unit:
Pm 0.000 0.000 0.000 (multiplicity 2)
Pr 0.173 0.500 0.585 (multiplicity 4)
Y 0.048 0.500 0.271 (multiplicity 4)
Ho 0.227 0.000 0.865 (multiplicity 4)

- E_form: 0.084 eV/atom

---

No. 4
The following is a PBE-GGA calculation of crystalline Pm2PrY2Ho2 at its relaxed geometry, from the Alexandria database.

Lattice parameters (Å, degrees): 11.359 5.095 8.070 90.00 98.17 90.00
Space group C2/m (No. 12)
Asymmetric unit:
Pm 0.142 0.000 0.429 (multiplicity 4)
Pr 0.000 0.000 0.000 (multiplicity 2)
Y 0.215 0.500 0.143 (multiplicity 4)
Ho 0.072 0.500 0.713 (multiplicity 4)

- E_form: 0.018 eV/atom

---

No. 5
The following is a PBE-GGA calculation of crystalline Pm2Pr2Y4Ho at its relaxed geometry, from the Alexandria database.

Lattice parameters (Å, degrees): 18.930 3.648 9.703 90.00 115.71 90.00
Space group C2/m (No. 12)
Asymmetric unit:
Pm 0.148 0.000 0.164 (multiplicity 4)
Pr 0.165 0.500 0.500 (multiplicity 4)
Y 0.019 0.500 0.832 (multiplicity 4)
Y 0.185 0.000 0.835 (multiplicity 4)
Ho 0.000 0.000 0.500 (multiplicity 2)

- E_form: 0.001 eV/atom

---

No. 6
The following is a PBE-GGA calculation of crystalline PmPr3YHo at its relaxed geometry, from the Alexandria database.

Lattice parameters (Å, degrees): 20.957 5.875 6.790 90.00 91.85 90.00
Space group C2/m (No. 12)
Asymmetric unit:
Pm 0.150 0.000 0.029 (multiplicity 4)
Pr 0.017 0.000 0.755 (multiplicity 4)
Pr 0.160 0.500 0.767 (multiplicity 4)
Pr 0.221 0.500 0.283 (multiplicity 4)
Y 0.060 0.500 0.258 (multiplicity 4)
Ho 0.139 0.000 0.485 (multiplicity 4)

- E_form: 0.174 eV/atom

---

No. 7
The following is a PBE-GGA calculation of crystalline Pm3PrY6Ho2 at its relaxed geometry, from the Alexandria database.

Lattice parameters (Å, degrees): 6.232 10.788 11.879 90.00 100.02 90.00
Space group C2/m (No. 12)
Asymmetric unit:
Pm 0.000 0.000 0.000 (multiplicity 2)
Pm 0.000 0.333 0.000 (multiplicity 4)
Pr 0.000 0.500 0.500 (multiplicity 2)
Y 0.249 0.000 0.749 (multiplicity 4)
Y 0.250 0.167 0.251 (multiplicity 8)
Ho 0.000 0.167 0.500 (multiplicity 4)

- E_form: 0.016 eV/atom

---

No. 8
The following is a PBE-GGA calculation of crystalline PmPrY2Ho at its relaxed geometry, from the Alexandria database.

Lattice parameters (Å, degrees): 8.496 11.596 7.213 90.00 90.00 90.00
Space group Cmcm (No. 63)
Asymmetric unit:
Pm 0.000 0.002 0.250 (multiplicity 4)
Pr 0.000 0.269 0.250 (multiplicity 4)
Y 0.188 0.500 0.000 (multiplicity 8)
Ho 0.000 0.277 0.750 (multiplicity 4)

- E_form: 0.382 eV/atom

---

No. 9
The following is a PBE-GGA calculation of crystalline PmPrYHo2 at its relaxed geometry, from the Alexandria database.

Lattice parameters (Å, degrees): 8.415 11.618 7.203 90.00 90.00 90.00
Space group Cmcm (No. 63)
Asymmetric unit:
Pm 0.000 0.010 0.250 (multiplicity 4)
Pr 0.000 0.277 0.250 (multiplicity 4)
Y 0.000 0.273 0.750 (multiplicity 4)
Ho 0.187 0.500 0.000 (multiplicity 8)

- E_form: 0.372 eV/atom

---

No. 10
The following is a PBE-GGA calculation of crystalline PmPr4Y2Ho2 at its relaxed geometry, from the Alexandria database.

Lattice parameters (Å, degrees): 15.431 5.134 8.115 90.00 108.25 90.00
Space group C2/m (No. 12)
Asymmetric unit:
Pm 0.000 0.000 0.000 (multiplicity 2)
Pr 0.054 0.500 0.330 (multiplicity 4)
Pr 0.223 0.000 0.331 (multiplicity 4)
Y 0.112 0.000 0.669 (multiplicity 4)
Ho 0.168 0.500 0.000 (multiplicity 4)

- E_form: 0.018 eV/atom

---

No. 11
The following is a PBE-GGA calculation of crystalline PmPrYHo at its relaxed geometry, from the Alexandria database.

Lattice parameters (Å, degrees): 5.127 5.127 10.182 90.00 90.00 90.00
Space group I-4m2 (No. 119)
Asymmetric unit:
Pm 0.000 0.000 0.000 (multiplicity 2)
Pr 0.000 0.500 0.250 (multiplicity 2)
Y 0.000 0.000 0.500 (multiplicity 2)
Ho 0.000 0.500 0.750 (multiplicity 2)

- Energy above the lowest structure with this stoichiometry: 0 meV per atom
- E_form: 0.019 eV/atom

---

No. 12
The following is a PBE-GGA calculation of crystalline Pm2Pr2YHo at its relaxed geometry, from the Alexandria database.

Lattice parameters (Å, degrees): 7.127 5.736 9.952 90.00 90.00 90.00
Space group Pmma (No. 51)
Asymmetric unit:
Pm 0.250 0.000 0.163 (multiplicity 2)
Pm 0.250 0.500 0.668 (multiplicity 2)
Pr 0.000 0.500 0.000 (multiplicity 2)
Pr 0.250 0.000 0.824 (multiplicity 2)
Y 0.000 0.000 0.500 (multiplicity 2)
Ho 0.250 0.500 0.341 (multiplicity 2)

- E_form: 0.054 eV/atom

---

No. 13
The following is a PBE-GGA calculation of crystalline PmPr6YHo2 at its relaxed geometry, from the Alexandria database.

Lattice parameters (Å, degrees): 9.344 15.420 9.796 90.00 97.82 90.00
Space group C2/c (No. 15)
Asymmetric unit:
Pm 0.000 0.028 0.250 (multiplicity 4)
Pr 0.064 0.177 0.946 (multiplicity 8)
Pr 0.097 0.392 0.119 (multiplicity 8)
Pr 0.213 0.224 0.315 (multiplicity 8)
Y 0.000 0.410 0.750 (multiplicity 4)
Ho 0.248 0.048 0.547 (multiplicity 8)

- E_form: 0.111 eV/atom

---

No. 14
The following is a PBE-GGA calculation of crystalline Pm2Pr4Y2Ho at its relaxed geometry, from the Alexandria database.

Lattice parameters (Å, degrees): 15.522 5.172 8.132 90.00 108.59 90.00
Space group C2/m (No. 12)
Asymmetric unit:
Pm 0.111 0.000 0.169 (multiplicity 4)
Pr 0.055 0.500 0.831 (multiplicity 4)
Pr 0.222 0.000 0.832 (multiplicity 4)
Y 0.166 0.500 0.500 (multiplicity 4)
Ho 0.000 0.000 0.500 (multiplicity 2)

- E_form: 0.020 eV/atom

---

No. 15
The following is a PBE-GGA calculation of crystalline PmPr2YHo2 at its relaxed geometry, from the Alexandria database.

Lattice parameters (Å, degrees): 7.104 5.712 9.885 90.00 90.00 90.00
Space group Pmma (No. 51)
Asymmetric unit:
Pm 0.250 0.000 0.160 (multiplicity 2)
Pr 0.000 0.000 0.500 (multiplicity 2)
Pr 0.250 0.500 0.676 (multiplicity 2)
Y 0.000 0.500 0.000 (multiplicity 2)
Ho 0.250 0.000 0.832 (multiplicity 2)
Ho 0.250 0.500 0.336 (multiplicity 2)

- E_form: 0.059 eV/atom

---

No. 16
The following is a PBE-GGA calculation of crystalline PmPr2Y3Ho6 at its relaxed geometry, from the Alexandria database.

Lattice parameters (Å, degrees): 6.208 10.745 11.837 90.00 100.03 90.00
Space group C2/m (No. 12)
Asymmetric unit:
Pm 0.000 0.000 0.000 (multiplicity 2)
Pr 0.000 0.333 0.000 (multiplicity 4)
Y 0.000 0.167 0.500 (multiplicity 4)
Y 0.000 0.500 0.500 (multiplicity 2)
Ho 0.248 0.000 0.747 (multiplicity 4)
Ho 0.249 0.333 0.747 (multiplicity 8)

- E_form: 0.021 eV/atom

---

No. 17
The following is a PBE-GGA calculation of crystalline Pm4PrY2Ho2 at its relaxed geometry, from the Alexandria database.

Lattice parameters (Å, degrees): 15.338 5.099 8.077 90.00 108.31 90.00
Space group C2/m (No. 12)
Asymmetric unit:
Pm 0.055 0.000 0.332 (multiplicity 4)
Pm 0.223 0.500 0.332 (multiplicity 4)
Pr 0.000 0.500 0.000 (multiplicity 2)
Y 0.112 0.500 0.667 (multiplicity 4)
Ho 0.168 0.000 0.000 (multiplicity 4)

- E_form: 0.017 eV/atom

---

No. 18
The following is a PBE-GGA calculation of crystalline Pm2Pr3Y6Ho at its relaxed geometry, from the Alexandria database.

Lattice parameters (Å, degrees): 6.276 10.867 11.906 90.00 100.08 90.00
Space group C2/m (No. 12)
Asymmetric unit:
Pm 0.000 0.166 0.000 (multiplicity 4)
Pr 0.000 0.000 0.500 (multiplicity 2)
Pr 0.000 0.333 0.500 (multiplicity 4)
Y 0.249 0.334 0.248 (multiplicity 8)
Y 0.250 0.000 0.248 (multiplicity 4)
Ho 0.000 0.500 0.000 (multiplicity 2)

- E_form: 0.012 eV/atom

---

No. 19
The following is a PBE-GGA calculation of crystalline Pm3PrY2Ho6 at its relaxed geometry, from the Alexandria database.

Lattice parameters (Å, degrees): 6.207 10.743 11.836 90.00 100.03 90.00
Space group C2/m (No. 12)
Asymmetric unit:
Pm 0.000 0.000 0.000 (multiplicity 2)
Pm 0.000 0.333 0.000 (multiplicity 4)
Pr 0.000 0.500 0.500 (multiplicity 2)
Y 0.000 0.167 0.500 (multiplicity 4)
Ho 0.249 0.167 0.250 (multiplicity 8)
Ho 0.250 0.000 0.750 (multiplicity 4)

- E_form: 0.017 eV/atom

---

No. 20
The following is a PBE-GGA calculation of crystalline PmPrYHo at its relaxed geometry, from the Alexandria database.

Lattice parameters (Å, degrees): 8.140 8.140 8.140 90.00 90.00 90.00
Space group F-43m (No. 216)
Asymmetric unit:
Pm 0.000 0.000 0.000 (multiplicity 4)
Pr 0.000 0.000 0.500 (multiplicity 4)
Y 0.250 0.250 0.250 (multiplicity 4)
Ho 0.250 0.250 0.750 (multiplicity 4)

- Energy above the lowest structure with this stoichiometry: 88 meV per atom
- E_form: 0.107 eV/atom